DFT (PBE-GGA) results for a geometry-optimized TaNb2S5 structure.

Output
The calculation puts the energy above the most stable polymorph in this dataset at 0.0 meV per atom. As for the space group: Cmcm.

a b c (Å): 6.329 6.329 11.063
angles (deg): 90.00 90.00 135.12
Fractional coordinates of all 16 atoms:
Ta1 0.234 0.766 0.750
Ta2 0.766 0.234 0.250
Nb1 0.142 0.858 0.103
Nb2 0.142 0.858 0.397
Nb3 0.858 0.142 0.603
Nb4 0.858 0.142 0.897
S1 0.060 0.940 0.615
S2 0.060 0.940 0.885
S3 0.302 0.698 0.250
S4 0.329 0.671 0.550
S5 0.329 0.671 0.950
S6 0.671 0.329 0.050
S7 0.671 0.329 0.450
S8 0.698 0.302 0.750
S9 0.940 0.060 0.115
S10 0.940 0.060 0.385

DFT (PBE-GGA) results for a geometry-optimized Pr2InAg2Pd5 structure.

Output
For the formation energy from the elements, the calculation gives -503.4 meV/atom. As for the space group: P4/mbm.

a b c (Å): 10.004 10.004 4.014
angles (deg): 90.00 90.00 90.00
Fractional coordinates of all 20 atoms:
Pr1 0.172 0.328 0.000
Pr2 0.328 0.828 0.000
Pr3 0.672 0.172 0.000
Pr4 0.828 0.672 0.000
In1 0.000 0.000 0.000
In2 0.500 0.500 0.000
Ag1 0.126 0.626 0.000
Ag2 0.374 0.126 0.000
Ag3 0.626 0.874 0.000
Ag4 0.874 0.374 0.000
Pd1 0.000 0.500 0.500
Pd2 0.055 0.800 0.500
Pd3 0.200 0.055 0.500
Pd4 0.300 0.555 0.500
Pd5 0.445 0.300 0.500
Pd6 0.500 0.000 0.500
Pd7 0.555 0.700 0.500
Pd8 0.700 0.445 0.500
Pd9 0.800 0.945 0.500
Pd10 0.945 0.200 0.500

DFT (PBE-GGA) results for a geometry-optimized Cd2BrF structure.

Output
The calculation puts the energy above the most stable polymorph in this dataset at 255.2 meV per atom. As for the space group: Fm-3m.

a b c (Å): 4.975 4.975 4.975
angles (deg): 60.00 60.00 60.00
Fractional coordinates of all 4 atoms:
Cd1 0.250 0.250 0.250
Cd2 0.750 0.750 0.750
Br1 0.000 0.000 0.000
F1 0.500 0.500 0.500

DFT (PBE-GGA) results for a geometry-optimized CuNiBr2 structure.

Output
The calculation puts the energy above the most stable polymorph in this dataset at 0.0 meV per atom. As for the space group: Cm.

a b c (Å): 3.821 3.821 7.100
angles (deg): 90.05 90.05 59.89
Fractional coordinates of all 4 atoms:
Cu1 0.000 0.000 0.000
Ni1 0.333 0.333 0.815
Br1 0.333 0.333 0.165
Br2 0.665 0.665 0.663

DFT (PBE-GGA) results for a geometry-optimized Hf4P2N structure.

Output
The calculation puts the energy above the most stable polymorph in this dataset at 0.0 meV per atom. As for the space group: C2/m.

a b c (Å): 6.649 6.649 6.108
angles (deg): 115.24 115.24 29.55
Fractional coordinates of all 7 atoms:
Hf1 0.102 0.102 0.414
Hf2 0.388 0.388 0.038
Hf3 0.612 0.612 0.962
Hf4 0.898 0.898 0.586
P1 0.263 0.263 0.267
P2 0.737 0.737 0.733
N1 0.000 0.000 0.000

DFT (PBE-GGA) results for a geometry-optimized Sm5PaCo4 structure.

Output
For the formation energy from the elements, the calculation gives -188.0 meV/atom. As for the space group: C2/m.

a b c (Å): 8.878 8.878 7.139
angles (deg): 111.32 111.32 27.23
Fractional coordinates of all 10 atoms:
Sm1 0.000 0.000 0.000
Sm2 0.324 0.324 0.944
Sm3 0.338 0.338 0.454
Sm4 0.662 0.662 0.546
Sm5 0.676 0.676 0.056
Pa1 0.000 0.000 0.500
Co1 0.136 0.136 0.783
Co2 0.483 0.483 0.289
Co3 0.517 0.517 0.711
Co4 0.864 0.864 0.217

DFT (PBE-GGA) results for a geometry-optimized Sr2PrZn structure.

Output
For the formation energy from the elements, the calculation gives 2.0 meV/atom. The calculation puts the energy above the most stable polymorph in this dataset at 0.0 meV per atom. As for the space group: P4/mmm.

a b c (Å): 3.813 3.813 10.069
angles (deg): 90.00 90.00 90.00
Fractional coordinates of all 4 atoms:
Sr1 0.000 0.000 0.198
Sr2 0.000 0.000 0.802
Pr1 0.500 0.500 0.500
Zn1 0.500 0.500 0.000

DFT (PBE-GGA) results for a geometry-optimized PdSO6 structure.

Output
As for the space group: C2/m. The value obtained for the energy is -4.972 eV/atom.

a b c (Å): 4.869 4.869 4.781
angles (deg): 119.01 119.01 62.90
Fractional coordinates of all 8 atoms:
Pd1 0.000 0.000 0.000
S1 0.500 0.500 0.500
O1 0.190 0.647 0.204
O2 0.283 0.283 0.435
O3 0.353 0.810 0.796
O4 0.647 0.190 0.204
O5 0.717 0.717 0.565
O6 0.810 0.353 0.796

DFT (PBE-GGA) results for a geometry-optimized DyPuTe2 structure.

Output
The calculation puts the energy above the most stable polymorph in this dataset at 154.6 meV per atom. As for the space group: Fm-3m.

a b c (Å): 5.367 5.367 5.367
angles (deg): 60.00 60.00 60.00
Fractional coordinates of all 4 atoms:
Dy1 0.000 0.000 0.000
Pu1 0.500 0.500 0.500
Te1 0.250 0.250 0.250
Te2 0.750 0.750 0.750

DFT (PBE-GGA) results for a geometry-optimized ScAgRu2 structure.

Output
For the formation energy from the elements, the calculation gives 69.7 meV/atom. The calculation puts the energy above the most stable polymorph in this dataset at 42.4 meV per atom. As for the space group: Imm2.

a b c (Å): 5.364 5.364 5.364
angles (deg): 145.91 130.33 61.62
Fractional coordinates of all 4 atoms:
Sc1 0.000 0.000 0.000
Ag1 0.267 0.767 0.500
Ru1 0.525 0.525 0.000
Ru2 0.751 0.251 0.500

DFT (PBE-GGA) results for a geometry-optimized PmPrTlRu structure.

Output
For the formation energy from the elements, the calculation gives -269.4 meV/atom. The calculation puts the energy above the most stable polymorph in this dataset at 0.0 meV per atom. As for the space group: P4mm.

a b c (Å): 3.480 3.480 8.729
angles (deg): 90.00 90.00 90.00
Fractional coordinates of all 4 atoms:
Pm1 0.000 0.000 0.000
Pr1 0.000 0.000 0.402
Tl1 0.500 0.500 0.704
Ru1 0.500 0.500 0.196

DFT (PBE-GGA) results for a geometry-optimized TiVW3 structure.

Output
For the formation energy from the elements, the calculation gives 1420.8 meV/atom. The calculation puts the energy above the most stable polymorph in this dataset at 1291.6 meV per atom. As for the space group: Pm-3m.

a b c (Å): 4.533 4.533 4.533
angles (deg): 90.00 90.00 90.00
Fractional coordinates of all 5 atoms:
Ti1 0.000 0.000 0.000
V1 0.500 0.500 0.500
W1 0.000 0.500 0.500
W2 0.500 0.000 0.500
W3 0.500 0.500 0.000